Computed, not measured: RbPIr after structural relaxation at the PBE level of DFT.

It has space group P-6m2 (No. 187), with a = 3.9328 Å, b = 3.9328 Å, c = 5.7507 Å, α = 90.00°, β = 90.00° and γ = 120.00°. Symmetry generates all atoms from Rb at (0.0000, 0.0000, 0.0000), P at (0.6667, 0.3333, 0.5000) and Ir at (0.3333, 0.6667, 0.5000).

The total energy comes out at -16.08 eV per cell. As for the formation enthalpy at 0 K: -0.28 eV per atom.

Computed, not measured: RbPIr3 after structural relaxation at the PBE level of DFT.

It has space group Pm-3m (No. 221), with a = 4.576 Å, b = 4.576 Å, c = 4.576 Å, α = 90.00°, β = 90.00° and γ = 90.00°. Symmetry generates all atoms from Rb at (0.000, 0.000, 0.000), P at (0.500, 0.500, 0.500) and Ir at (0.000, 0.500, 0.500).

The total energy comes out at -29.61 eV per cell. The energy above the most stable polymorph in this dataset is 0.00 eV per formula unit. As for the formation enthalpy at 0 K: 0.67 eV per atom.

What is the formula in the second record?
RbPIr3

Which of these has the lowest formation enthalpy at 0 K?
RbPIr

The highest formation enthalpy at 0 K belongs to which entry?
RbPIr3

Which value of formation enthalpy at 0 K does entry 1 give?
-0.28 eV per atom